[1]
{
  "formula": "NaUZn",
  "functional": "PBE",
  "state": "optimized geometry",
  "cell": [[0.000, 3.542, 3.542], [3.542, 0.000, 3.542], [3.542, 3.542, 0.000]],
  "species": ["Na", "U", "Zn"],
  "frac_coords": [[0.250, 0.250, 0.250], [0.000, 0.000, 0.000], [0.750, 0.750, 0.750]],
  "total_energy_ev_per_atom": -3.26
}

---

[2]
{
  "formula": "LaTbGd",
  "functional": "PBE",
  "state": "optimized geometry",
  "cell": [[-2.877, 1.286, 4.436], [-1.337, 5.185, 0.966], [-5.175, 1.611, -0.486]],
  "species": ["Gd", "La", "Tb"],
  "frac_coords": [[0.250, 0.250, 0.250], [0.000, 0.000, 0.000], [0.750, 0.750, 0.750]],
  "e_form_ev_per_fu": 2.314
}

---

[3]
{
  "formula": "AlCdO3",
  "functional": "PBE",
  "state": "optimized geometry",
  "cell": [[2.721, -1.571, -4.712], [-2.721, -1.571, -4.712], [0.000, 3.142, -4.712]],
  "species": ["Al", "Al", "Cd", "Cd", "O", "O", "O", "O", "O", "O"],
  "frac_coords": [[0.250, 0.250, 0.250], [0.750, 0.750, 0.750], [0.000, 0.000, 0.000], [0.500, 0.500, 0.500], [0.750, 0.431, 0.069], [0.569, 0.931, 0.250], [0.069, 0.750, 0.431], [0.931, 0.250, 0.569], [0.431, 0.069, 0.750], [0.250, 0.569, 0.931]],
  "total_energy_ev_per_atom": -5.33
}

---

[4]
{
  "formula": "RbNiGeTe3",
  "functional": "PBE",
  "state": "optimized geometry",
  "cell": [[9.283, 0.000, 0.000], [0.000, 3.999, 0.000], [-4.390, 0.000, 10.173]],
  "species": ["Ge", "Ge", "Ni", "Ni", "Rb", "Rb", "Te", "Te", "Te", "Te", "Te", "Te"],
  "frac_coords": [[0.614, 0.750, 0.049], [0.386, 0.250, 0.951], [0.866, 0.250, 0.346], [0.134, 0.750, 0.654], [0.279, 0.250, 0.233], [0.721, 0.750, 0.767], [0.841, 0.250, 0.093], [0.656, 0.750, 0.304], [0.069, 0.750, 0.406], [0.931, 0.250, 0.594], [0.344, 0.250, 0.696], [0.159, 0.750, 0.907]],
  "total_energy_ev_per_atom": -3.73
}